No. 1
A plane-wave DFT calculation with PBE was carried out for a geometry-optimized Li2Ca2Y structure.

Output
Polymorph energy (0 for the lowest one), kcal/mol of atoms: 1.748
Space-group type: P4/mbm, No. 127
Crystal system: tetragonal
Formation energy, eV/f.u.: 0.99

```
data_Li2Ca2Y
_cell_length_a 9.250
_cell_length_b 9.250
_cell_length_c 3.560
_cell_angle_alpha 90.00
_cell_angle_beta 90.00
_cell_angle_gamma 90.00
_space_group_name_H-M_alt 'P 1'
_space_group_IT_number 1
loop_
_space_group_symop_operation_xyz
'x,y,z'
loop_
_atom_site_label
_atom_site_type_symbol
_atom_site_fract_x
_atom_site_fract_y
_atom_site_fract_z
_atom_site_occupancy
Li1 Li 0.164 0.336 0.000 1
Li2 Li 0.336 0.836 0.000 1
Li3 Li 0.664 0.164 0.000 1
Li4 Li 0.836 0.664 0.000 1
Ca1 Ca 0.138 0.638 0.500 1
Ca2 Ca 0.362 0.138 0.500 1
Ca3 Ca 0.638 0.862 0.500 1
Ca4 Ca 0.862 0.362 0.500 1
Y1 Y 0.000 0.000 0.500 1
Y2 Y 0.500 0.500 0.500 1
```

=====

No. 2
A plane-wave DFT calculation with PBE was carried out for a geometry-optimized Ce3SmY4P8 structure.

Output
Space-group type: R-3m, No. 166
Crystal system: trigonal
Formation energy, eV/f.u.: -25.25

```
data_Ce3SmY4P8
_cell_length_a 8.096
_cell_length_b 8.096
_cell_length_c 8.096
_cell_angle_alpha 60.11
_cell_angle_beta 60.11
_cell_angle_gamma 60.11
_space_group_name_H-M_alt 'P 1'
_space_group_IT_number 1
loop_
_space_group_symop_operation_xyz
'x,y,z'
loop_
_atom_site_label
_atom_site_type_symbol
_atom_site_fract_x
_atom_site_fract_y
_atom_site_fract_z
_atom_site_occupancy
Ce1 Ce 0.000 0.500 0.500 1
Ce2 Ce 0.500 0.000 0.500 1
Ce3 Ce 0.500 0.500 0.000 1
Sm1 Sm 0.000 0.000 0.000 1
Y1 Y 0.000 0.000 0.500 1
Y2 Y 0.000 0.500 0.000 1
Y3 Y 0.500 0.000 0.000 1
Y4 Y 0.500 0.500 0.500 1
P1 P 0.249 0.249 0.249 1
P2 P 0.251 0.748 0.748 1
P3 P 0.252 0.252 0.749 1
P4 P 0.252 0.749 0.252 1
P5 P 0.748 0.251 0.748 1
P6 P 0.748 0.748 0.251 1
P7 P 0.749 0.252 0.252 1
P8 P 0.751 0.751 0.751 1
```

=====

No. 3
A plane-wave DFT calculation with PBE was carried out for a geometry-optimized MgCdTc structure.

Output
Polymorph energy (0 for the lowest one), kcal/mol of atoms: 16.390
Space-group type: F-43m, No. 216
Crystal system: cubic
Formation energy, eV/f.u.: 2.42

```
data_MgCdTc
_cell_length_a 4.573
_cell_length_b 4.573
_cell_length_c 4.573
_cell_angle_alpha 60.00
_cell_angle_beta 60.00
_cell_angle_gamma 60.00
_space_group_name_H-M_alt 'P 1'
_space_group_IT_number 1
loop_
_space_group_symop_operation_xyz
'x,y,z'
loop_
_atom_site_label
_atom_site_type_symbol
_atom_site_fract_x
_atom_site_fract_y
_atom_site_fract_z
_atom_site_occupancy
Mg1 Mg 0.000 0.000 0.000 1
Cd1 Cd 0.500 0.500 0.500 1
Tc1 Tc 0.250 0.250 0.250 1
```

=====

No. 4
A plane-wave DFT calculation with PBE was carried out for a geometry-optimized CsClF2 structure.

Output
Uncorrected formation energy, meV per atom: -1723
Polymorph energy (0 for the lowest one), kcal/mol of atoms: 0.000
Space-group type: P1, No. 1
Crystal system: triclinic

```
data_CsClF2
_cell_length_a 4.840
_cell_length_b 6.146
_cell_length_c 7.589
_cell_angle_alpha 90.01
_cell_angle_beta 90.25
_cell_angle_gamma 92.61
_space_group_name_H-M_alt 'P 1'
_space_group_IT_number 1
loop_
_space_group_symop_operation_xyz
'x,y,z'
loop_
_atom_site_label
_atom_site_type_symbol
_atom_site_fract_x
_atom_site_fract_y
_atom_site_fract_z
_atom_site_occupancy
Cs1 Cs 0.000 0.000 0.000 1
Cs2 Cs 0.500 0.500 0.500 1
Cl1 Cl 0.000 0.000 0.500 1
Cl2 Cl 0.500 0.501 0.001 1
F1 F 0.016 0.752 0.646 1
F2 F 0.485 0.749 0.147 1
F3 F 0.515 0.253 0.855 1
F4 F 0.984 0.248 0.354 1
```

=====

No. 5
A plane-wave DFT calculation with PBE was carried out for a geometry-optimized Na2ZnH6Ru structure.

Output
Calculated total energy, eV per atom: -3.446
Space-group type: Fm-3m, No. 225
Crystal system: cubic

```
data_Na2ZnH6Ru
_cell_length_a 5.053
_cell_length_b 5.053
_cell_length_c 5.053
_cell_angle_alpha 60.00
_cell_angle_beta 60.00
_cell_angle_gamma 60.00
_space_group_name_H-M_alt 'P 1'
_space_group_IT_number 1
loop_
_space_group_symop_operation_xyz
'x,y,z'
loop_
_atom_site_label
_atom_site_type_symbol
_atom_site_fract_x
_atom_site_fract_y
_atom_site_fract_z
_atom_site_occupancy
Na1 Na 0.250 0.250 0.250 1
Na2 Na 0.750 0.750 0.750 1
Zn1 Zn 0.000 0.000 0.000 1
H1 H 0.257 0.257 0.743 1
H2 H 0.257 0.743 0.257 1
H3 H 0.257 0.743 0.743 1
H4 H 0.743 0.257 0.257 1
H5 H 0.743 0.257 0.743 1
H6 H 0.743 0.743 0.257 1
Ru1 Ru 0.500 0.500 0.500 1
```

=====

No. 6
A plane-wave DFT calculation with PBE was carried out for a geometry-optimized NaLi2Pm2In5 structure.

Output
Space-group type: P4/mbm, No. 127
Crystal system: tetragonal
Formation energy, eV/f.u.: -3.30

```
data_NaLi2Pm2In5
_cell_length_a 10.265
_cell_length_b 10.265
_cell_length_c 4.500
_cell_angle_alpha 90.00
_cell_angle_beta 90.00
_cell_angle_gamma 90.00
_space_group_name_H-M_alt 'P 1'
_space_group_IT_number 1
loop_
_space_group_symop_operation_xyz
'x,y,z'
loop_
_atom_site_label
_atom_site_type_symbol
_atom_site_fract_x
_atom_site_fract_y
_atom_site_fract_z
_atom_site_occupancy
Na1 Na 0.000 0.000 0.000 1
Na2 Na 0.500 0.500 0.000 1
Li1 Li 0.113 0.387 0.000 1
Li2 Li 0.387 0.887 0.000 1
Li3 Li 0.613 0.113 0.000 1
Li4 Li 0.887 0.613 0.000 1
Pm1 Pm 0.181 0.681 0.000 1
Pm2 Pm 0.319 0.181 0.000 1
Pm3 Pm 0.681 0.819 0.000 1
Pm4 Pm 0.819 0.319 0.000 1
In1 In 0.000 0.500 0.500 1
In2 In 0.065 0.210 0.500 1
In3 In 0.210 0.935 0.500 1
In4 In 0.290 0.435 0.500 1
In5 In 0.435 0.710 0.500 1
In6 In 0.500 0.000 0.500 1
In7 In 0.565 0.290 0.500 1
In8 In 0.710 0.565 0.500 1
In9 In 0.790 0.065 0.500 1
In10 In 0.935 0.790 0.500 1
```

=====

No. 7
A plane-wave DFT calculation with PBE was carried out for a geometry-optimized PIrRu2 structure.

Output
Space-group type: P4mm, No. 99
Crystal system: tetragonal
Formation energy, eV/f.u.: -0.07

```
data_PIrRu2
_cell_length_a 2.832
_cell_length_b 2.832
_cell_length_c 6.757
_cell_angle_alpha 90.00
_cell_angle_beta 90.00
_cell_angle_gamma 90.00
_space_group_name_H-M_alt 'P 1'
_space_group_IT_number 1
loop_
_space_group_symop_operation_xyz
'x,y,z'
loop_
_atom_site_label
_atom_site_type_symbol
_atom_site_fract_x
_atom_site_fract_y
_atom_site_fract_z
_atom_site_occupancy
P1 P 0.000 0.000 0.000 1
Ir1 Ir 0.500 0.500 0.777 1
Ru1 Ru 0.000 0.000 0.486 1
Ru2 Ru 0.500 0.500 0.207 1
```

=====

No. 8
A plane-wave DFT calculation with PBE was carried out for a geometry-optimized CoTcCl2 structure.

Output
Uncorrected formation energy, meV per atom: 254
Polymorph energy (0 for the lowest one), kcal/mol of atoms: 6.263
Space-group type: Pm, No. 6
Crystal system: monoclinic

```
data_CoTcCl2
_cell_length_a 4.046
_cell_length_b 3.388
_cell_length_c 6.283
_cell_angle_alpha 90.00
_cell_angle_beta 98.46
_cell_angle_gamma 90.00
_space_group_name_H-M_alt 'P 1'
_space_group_IT_number 1
loop_
_space_group_symop_operation_xyz
'x,y,z'
loop_
_atom_site_label
_atom_site_type_symbol
_atom_site_fract_x
_atom_site_fract_y
_atom_site_fract_z
_atom_site_occupancy
Co1 Co 0.000 0.000 0.000 1
Tc1 Tc 0.385 0.500 0.989 1
Cl1 Cl 0.572 0.000 0.744 1
Cl2 Cl 0.947 0.500 0.240 1
```

=====

No. 9
A plane-wave DFT calculation with PBE was carried out for a geometry-optimized CsLi3Ca4Br12 structure.

Output
Uncorrected formation energy, meV per atom: -1831
Space-group type: Im-3, No. 204
Crystal system: cubic

```
data_CsLi3Ca4Br12
_cell_length_a 9.338
_cell_length_b 9.338
_cell_length_c 9.338
_cell_angle_alpha 109.47
_cell_angle_beta 109.47
_cell_angle_gamma 109.47
_space_group_name_H-M_alt 'P 1'
_space_group_IT_number 1
loop_
_space_group_symop_operation_xyz
'x,y,z'
loop_
_atom_site_label
_atom_site_type_symbol
_atom_site_fract_x
_atom_site_fract_y
_atom_site_fract_z
_atom_site_occupancy
Cs1 Cs 0.000 0.000 0.000 1
Li1 Li 0.000 0.500 0.500 1
Li2 Li 0.500 0.000 0.500 1
Li3 Li 0.500 0.500 0.000 1
Ca1 Ca 0.000 0.000 0.500 1
Ca2 Ca 0.000 0.500 0.000 1
Ca3 Ca 0.500 0.000 0.000 1
Ca4 Ca 0.500 0.500 0.500 1
Br1 Br 0.145 0.828 0.318 1
Br2 Br 0.172 0.318 0.490 1
Br3 Br 0.172 0.682 0.855 1
Br4 Br 0.318 0.145 0.828 1
Br5 Br 0.318 0.490 0.172 1
Br6 Br 0.490 0.172 0.318 1
Br7 Br 0.510 0.828 0.682 1
Br8 Br 0.682 0.510 0.828 1
Br9 Br 0.682 0.855 0.172 1
Br10 Br 0.828 0.318 0.145 1
Br11 Br 0.828 0.682 0.510 1
Br12 Br 0.855 0.172 0.682 1
```

=====

No. 10
A plane-wave DFT calculation with PBE was carried out for a geometry-optimized CaYPdPb structure.

Output
Space-group type: F-43m, No. 216
Crystal system: cubic
Formation energy, eV/f.u.: -2.42

```
data_CaYPdPb
_cell_length_a 5.228
_cell_length_b 5.228
_cell_length_c 5.228
_cell_angle_alpha 60.00
_cell_angle_beta 60.00
_cell_angle_gamma 60.00
_space_group_name_H-M_alt 'P 1'
_space_group_IT_number 1
loop_
_space_group_symop_operation_xyz
'x,y,z'
loop_
_atom_site_label
_atom_site_type_symbol
_atom_site_fract_x
_atom_site_fract_y
_atom_site_fract_z
_atom_site_occupancy
Ca1 Ca 0.000 0.000 0.000 1
Y1 Y 0.500 0.500 0.500 1
Pd1 Pd 0.750 0.750 0.750 1
Pb1 Pb 0.250 0.250 0.250 1
```

=====

No. 11
A plane-wave DFT calculation with PBE was carried out for a geometry-optimized Sm2Ga6Cu structure.

Output
Polymorph energy (0 for the lowest one), kcal/mol of atoms: 0.000
Space-group type: Fm-3m, No. 225
Crystal system: cubic
Formation energy, eV/f.u.: -4.35

```
data_Sm2Ga6Cu
_cell_length_a 6.280
_cell_length_b 6.280
_cell_length_c 6.280
_cell_angle_alpha 60.00
_cell_angle_beta 60.00
_cell_angle_gamma 60.00
_space_group_name_H-M_alt 'P 1'
_space_group_IT_number 1
loop_
_space_group_symop_operation_xyz
'x,y,z'
loop_
_atom_site_label
_atom_site_type_symbol
_atom_site_fract_x
_atom_site_fract_y
_atom_site_fract_z
_atom_site_occupancy
Sm1 Sm 0.250 0.250 0.250 1
Sm2 Sm 0.750 0.750 0.750 1
Ga1 Ga 0.219 0.219 0.781 1
Ga2 Ga 0.219 0.781 0.219 1
Ga3 Ga 0.219 0.781 0.781 1
Ga4 Ga 0.781 0.219 0.219 1
Ga5 Ga 0.781 0.219 0.781 1
Ga6 Ga 0.781 0.781 0.219 1
Cu1 Cu 0.500 0.500 0.500 1
```

=====

No. 12
A plane-wave DFT calculation with PBE was carried out for a geometry-optimized ScTiCu structure.

Output
Polymorph energy (0 for the lowest one), kcal/mol of atoms: 0.346
Space-group type: P4/nmm, No. 129
Crystal system: tetragonal
Formation energy, eV/f.u.: -0.20

```
data_ScTiCu
_cell_length_a 3.394
_cell_length_b 3.394
_cell_length_c 9.118
_cell_angle_alpha 90.00
_cell_angle_beta 90.00
_cell_angle_gamma 90.00
_space_group_name_H-M_alt 'P 1'
_space_group_IT_number 1
loop_
_space_group_symop_operation_xyz
'x,y,z'
loop_
_atom_site_label
_atom_site_type_symbol
_atom_site_fract_x
_atom_site_fract_y
_atom_site_fract_z
_atom_site_occupancy
Sc1 Sc 0.250 0.250 0.229 1
Sc2 Sc 0.750 0.750 0.771 1
Ti1 Ti 0.250 0.250 0.562 1
Ti2 Ti 0.750 0.750 0.438 1
Cu1 Cu 0.250 0.250 0.929 1
Cu2 Cu 0.750 0.750 0.071 1
```

=====

Which formula does entry 1 have?
Li2Ca2Y